This record from the Alexandria database describes an optimized crystal structure of MgNb2S. The functional is PBE-GGA.

Values from the calculation:
Magnetic moment: 0.0 Bohr magnetons per cell
Formation energy without anion corrections: 1.488 eV/f.u.
Symmetry: No. 225
Calculated volume: 16.79 Å³ per atom
Excess energy over the best structure of this formula in the dataset: 260 meV/atom

Unit cell a=4.562 b=4.562 c=4.562 alpha=60.00 beta=60.00 gamma=60.00
Positions (direct):
Nb 0.250 0.250 0.250
Nb 0.750 0.750 0.750
S 0.500 0.500 0.500
Mg 0.000 0.000 0.000



This record from the Alexandria database describes an optimized crystal structure of Mg3NbS. The functional is PBE-GGA.

Values from the calculation:
Magnetic moment: 3.2 Bohr magnetons per cell
Formation energy without anion corrections: 6.319 eV/f.u.
Symmetry: No. 221
Calculated volume: 31.63 Å³ per atom
Excess energy over the best structure of this formula in the dataset: 936 meV/atom

Unit cell a=5.408 b=5.408 c=5.408 alpha=90.00 beta=90.00 gamma=90.00
Positions (direct):
Mg 0.000 0.000 0.500
Mg 0.000 0.500 0.000
Mg 0.500 0.000 0.000
S 0.500 0.500 0.500
Nb 0.000 0.000 0.000



This record from the Alexandria database describes an optimized crystal structure of MgSc2NbS. The functional is PBE-GGA.

Values from the calculation:
Magnetic moment: 0.0 Bohr magnetons per cell
Formation energy without anion corrections: 1.280 eV/f.u.
Symmetry: No. 123
Calculated volume: 25.97 Å³ per atom

Unit cell a=5.249 b=4.712 c=5.249 alpha=90.00 beta=90.00 gamma=90.00
Positions (direct):
Sc 0.500 0.000 0.000
Sc 0.000 0.000 0.500
Nb 0.000 0.000 0.000
S 0.000 0.500 0.000
Mg 0.500 0.500 0.500



This record from the Alexandria database describes an optimized crystal structure of MgNbTeS2. The functional is PBE-GGA.

Values from the calculation:
Magnetic moment: 1.3 Bohr magnetons per cell
Formation energy without anion corrections: 2.094 eV/f.u.
Symmetry: No. 123
Calculated volume: 23.68 Å³ per atom

Unit cell a=4.633 b=5.517 c=4.633 alpha=90.00 beta=90.00 gamma=90.00
Positions (direct):
Te 0.000 0.500 0.000
Nb 0.500 0.500 0.500
S 0.000 0.000 0.500
S 0.500 0.000 0.000
Mg 0.000 0.000 0.000



This record from the Alexandria database describes an optimized crystal structure of MgNbTlS2. The functional is PBE-GGA.

Values from the calculation:
Magnetic moment: 3.7 Bohr magnetons per cell
Formation energy without anion corrections: 3.252 eV/f.u.
Symmetry: No. 123
Calculated volume: 24.51 Å³ per atom

Unit cell a=4.768 b=5.392 c=4.768 alpha=90.00 beta=90.00 gamma=90.00
Positions (direct):
S 0.000 0.000 0.500
S 0.500 0.000 0.000
Mg 0.000 0.000 0.000
Nb 0.000 0.500 0.000
Tl 0.500 0.500 0.500



This record from the Alexandria database describes an optimized crystal structure of MgNb2VS. The functional is PBE-GGA.

Values from the calculation:
Magnetic moment: 0.0 Bohr magnetons per cell
Formation energy without anion corrections: 3.574 eV/f.u.
Symmetry: No. 123
Calculated volume: 20.04 Å³ per atom

Unit cell a=4.767 b=4.767 c=4.408 alpha=90.00 beta=90.00 gamma=90.00
Positions (direct):
V 0.000 0.000 0.000
Mg 0.500 0.500 0.500
S 0.000 0.000 0.500
Nb 0.500 0.000 0.000
Nb 0.000 0.500 0.000



This record from the Alexandria database describes an optimized crystal structure of Y2MgNbS. The functional is PBE-GGA.

Values from the calculation:
Magnetic moment: 0.0 Bohr magnetons per cell
Formation energy without anion corrections: 3.065 eV/f.u.
Symmetry: No. 123
Calculated volume: 29.15 Å³ per atom

Unit cell a=5.327 b=5.136 c=5.327 alpha=90.00 beta=90.00 gamma=90.00
Positions (direct):
S 0.500 0.500 0.500
Y 0.000 0.000 0.500
Y 0.500 0.000 0.000
Nb 0.000 0.000 0.000
Mg 0.000 0.500 0.000



This record from the Alexandria database describes an optimized crystal structure of Mg2NbSb. The functional is PBE-GGA.

Values from the calculation:
Magnetic moment: 0.0 Bohr magnetons per cell
Formation energy without anion corrections: 1.511 eV/f.u.
Symmetry: No. 122
Calculated volume: 22.62 Å³ per atom

Unit cell a=8.052 b=8.052 c=6.341 alpha=50.59 beta=50.59 gamma=90.00
Positions (direct):
Sb 0.000 0.000 0.000
Sb 0.750 0.250 0.500
Mg 0.636 0.125 0.250
Mg 0.114 0.625 0.250
Mg 0.375 0.364 0.750
Mg 0.875 0.886 0.750
Nb 0.500 0.500 0.000
Nb 0.250 0.750 0.500



This record from the Alexandria database describes an optimized crystal structure of MgNb3Sb. The functional is PBE-GGA.

Values from the calculation:
Magnetic moment: 0.0 Bohr magnetons per cell
Formation energy without anion corrections: 6.516 eV/f.u.
Symmetry: No. 221
Calculated volume: 26.11 Å³ per atom
Excess energy over the best structure of this formula in the dataset: 0 meV/atom

Unit cell a=5.073 b=5.073 c=5.073 alpha=90.00 beta=90.00 gamma=90.00
Positions (direct):
Nb 0.000 0.500 0.000
Nb 0.000 0.000 0.500
Nb 0.500 0.000 0.000
Mg 0.500 0.500 0.500
Sb 0.000 0.000 0.000



This record from the Alexandria database describes an optimized crystal structure of MgSc2NbSb. The functional is PBE-GGA.

Values from the calculation:
Magnetic moment: 1.3 Bohr magnetons per cell
Formation energy without anion corrections: 3.733 eV/f.u.
Symmetry: No. 123
Calculated volume: 24.96 Å³ per atom

Unit cell a=5.048 b=4.897 c=5.048 alpha=90.00 beta=90.00 gamma=90.00
Positions (direct):
Nb 0.000 0.500 0.000
Sc 0.500 0.000 0.000
Sc 0.000 0.000 0.500
Mg 0.000 0.000 0.000
Sb 0.500 0.500 0.500



This record from the Alexandria database describes an optimized crystal structure of MgNbSbSe2. The functional is PBE-GGA.

Values from the calculation:
Magnetic moment: 0.0 Bohr magnetons per cell
Formation energy without anion corrections: 4.030 eV/f.u.
Symmetry: No. 123
Calculated volume: 24.79 Å³ per atom

Unit cell a=4.798 b=5.384 c=4.798 alpha=90.00 beta=90.00 gamma=90.00
Positions (direct):
Se 0.000 0.000 0.500
Se 0.500 0.000 0.000
Nb 0.000 0.500 0.000
Mg 0.000 0.000 0.000
Sb 0.500 0.500 0.500



This record from the Alexandria database describes an optimized crystal structure of MgNbSb2W. The functional is PBE-GGA.

Values from the calculation:
Magnetic moment: 3.6 Bohr magnetons per cell
Formation energy without anion corrections: 5.886 eV/f.u.
Symmetry: No. 123
Calculated volume: 27.41 Å³ per atom

Unit cell a=5.189 b=5.091 c=5.189 alpha=90.00 beta=90.00 gamma=90.00
Positions (direct):
Sb 0.500 0.000 0.000
Sb 0.000 0.000 0.500
Mg 0.000 0.500 0.000
Nb 0.500 0.500 0.500
W 0.000 0.000 0.000



This record from the Alexandria database describes an optimized crystal structure of Mg2ScNb. The functional is PBE-GGA.

Values from the calculation:
Magnetic moment: 0.0 Bohr magnetons per cell
Symmetry: No. 122
Calculated volume: 21.70 Å³ per atom
Energy of formation from the pure elements: 0.566 eV per atom
Excess energy over the best structure of this formula in the dataset: 325 meV/atom

Unit cell a=7.931 b=7.931 c=6.250 alpha=50.62 beta=50.62 gamma=90.00
Positions (direct):
Nb 0.000 0.000 0.000
Nb 0.750 0.250 0.500
Mg 0.634 0.125 0.250
Mg 0.375 0.366 0.750
Mg 0.116 0.625 0.250
Mg 0.875 0.884 0.750
Sc 0.250 0.750 0.500
Sc 0.500 0.500 0.000



This record from the Alexandria database describes an optimized crystal structure of MgScNb2. The functional is PBE-GGA.

Values from the calculation:
Magnetic moment: 0.0 Bohr magnetons per cell
Symmetry: No. 122
Calculated volume: 20.47 Å³ per atom
Energy of formation from the pure elements: 0.679 eV per atom
Excess energy over the best structure of this formula in the dataset: 236 meV/atom

Unit cell a=7.678 b=7.678 c=6.099 alpha=50.99 beta=50.99 gamma=90.00
Positions (direct):
Nb 0.134 0.625 0.250
Nb 0.616 0.125 0.250
Nb 0.875 0.866 0.750
Nb 0.375 0.384 0.750
Sc 0.000 0.000 0.000
Sc 0.750 0.250 0.500
Mg 0.500 0.500 0.000
Mg 0.250 0.750 0.500